DFT (GGA-PBE) results for an optimized crystal structure of LaNdTm2Cd4.

Calculated values
Symmetry: R-3m, No. 166
Volume, A^3/atom: 27.53
Energy, eV per atom: -3.09
Total magnetization, μB/f.u.: 0.13

Cell: 5.383 5.383 9.313 Å, 73.20 73.20 60.00°
Fractional positions:
Tm: 0.250 0.250 0.251
Cd: 0.624 0.624 0.128
Tm: 0.750 0.750 0.749
Cd: 0.126 0.126 0.622
Cd: 0.376 0.376 0.872
Cd: 0.874 0.874 0.378
La: 0.000 0.000 0.000
Nd: 0.500 0.500 0.500